Entry 1:
Entry from Alexandria via LeMat-Bulk: MgSi2Se after structural relaxation (GGA-PBEsol).

extended XYZ file:
```
4
Lattice="0.0000 3.3101 3.3101 3.3101 0.0000 3.3101 3.3101 3.3101 0.0000" Properties=species:S:1:pos:R:3 pbc="T T T"
Mg 0.0000 0.0000 0.0000
Si 1.6550 1.6550 1.6550
Si 4.9651 4.9651 4.9651
Se 3.3101 3.3101 3.3101
```

Properties
ΔE to the lowest computed polymorph: 2.207 eV per formula unit
Space-group type: Fm-3m, No. 225
E_form (uncorrected): 0.413 eV per atom
Volume: 18.1 Å³ per atom



Entry 2:
Entry from Alexandria via LeMat-Bulk: MgSi2Se after structural relaxation (GGA-PBEsol).

extended XYZ file:
```
4
Lattice="5.6873 -1.8207 0.0000 5.6873 1.8207 0.0000 -0.6842 0.0000 3.5798" Properties=species:S:1:pos:R:3 pbc="T T T"
Mg 0.0000 0.0000 0.0000
Si 2.8084 0.0000 0.8835
Si 7.8819 0.0000 2.6963
Se 5.3451 0.0000 1.7899
```

Properties
ΔE to the lowest computed polymorph: 0.000 eV per formula unit
Space-group type: C2/m, No. 12
E_form (uncorrected): -0.139 eV per atom
Volume: 18.5 Å³ per atom



Entry 3:
Entry from Alexandria via LeMat-Bulk: MgSi2Se after structural relaxation (GGA-PBEsol).

extended XYZ file:
```
4
Lattice="-1.8263 1.8263 5.4209 1.8263 -1.8263 5.4209 1.8263 1.8263 -5.4209" Properties=species:S:1:pos:R:3 pbc="T T T"
Mg 0.0000 0.0000 0.0000
Si 1.8263 0.0000 2.7105
Si 0.0000 1.8263 2.7105
Se 0.0000 0.0000 5.4209
```

Properties
ΔE to the lowest computed polymorph: 0.530 eV per formula unit
Space-group type: I4/mmm, No. 139
E_form (uncorrected): -0.006 eV per atom
Volume: 18.1 Å³ per atom



Entry 4:
Entry from Alexandria via LeMat-Bulk: MgSn3Se after structural relaxation (GGA-PBEsol).

extended XYZ file:
```
5
Lattice="5.2962 0.0000 0.0000 0.0000 5.2962 0.0000 0.0000 0.0000 5.2962" Properties=species:S:1:pos:R:3 pbc="T T T"
Mg 0.0000 0.0000 0.0000
Sn 0.0000 0.0000 2.6481
Sn 0.0000 2.6481 0.0000
Sn 2.6481 0.0000 0.0000
Se 2.6481 2.6481 2.6481
```

Properties
Space-group type: Pm-3m, No. 221
E_form (uncorrected): 0.490 eV per atom
Volume: 29.7 Å³ per atom